Entry 1:
Computed, not measured: a geometry-optimized AlAgO structure at the PBE level of DFT.

Computed properties:
volume: 13.66 Å³/atom
crystal system: orthorhombic
ΔE_f (raw): -1003 meV/atom

Structure (CIF):
```
data_AlAgO
_chemical_formula_sum 'Al1 Ag1 O1'
_cell_length_a 2.8048
_cell_length_b 5.3350
_cell_length_c 2.7379
_cell_angle_alpha 90.00
_cell_angle_beta 90.00
_cell_angle_gamma 90.00
_symmetry_space_group_name_H-M 'P m m 2'
_symmetry_Int_Tables_number 25
_symmetry_space_group_name_Hall 'P 2 -2'
loop_
_atom_site_label
_atom_site_type_symbol
_atom_site_fract_x
_atom_site_fract_y
_atom_site_fract_z
_atom_site_occupancy
Al1 Al 0.0000 0.0000 0.0000 1
Ag1 Ag 0.0000 0.5000 0.4979 1
O1 O 0.5000 0.0000 0.5001 1
```


Entry 2:
Computed, not measured: a geometry-optimized PmMgZnCu structure at the PBE level of DFT.

Computed properties:
volume: 20.14 Å³/atom
crystal system: cubic
formation energy from the elements: -0.261 eV/atom

Structure (CIF):
```
data_PmMgZnCu
_chemical_formula_sum 'Pm4 Mg4 Zn4 Cu4'
_cell_length_a 6.8556
_cell_length_b 6.8556
_cell_length_c 6.8556
_cell_angle_alpha 90.00
_cell_angle_beta 90.00
_cell_angle_gamma 90.00
_symmetry_space_group_name_H-M 'F -4 3 m'
_symmetry_Int_Tables_number 216
_symmetry_space_group_name_Hall 'F -4 2 3'
loop_
_atom_site_label
_atom_site_type_symbol
_atom_site_fract_x
_atom_site_fract_y
_atom_site_fract_z
_atom_site_occupancy
Pm1 Pm 0.0000 0.0000 0.0000 1
Mg1 Mg 0.0000 0.0000 0.5000 1
Zn1 Zn 0.2500 0.2500 0.7500 1
Cu1 Cu 0.2500 0.2500 0.2500 1
```


Entry 3:
Computed, not measured: a geometry-optimized Ni4Pb2N structure at the PBE level of DFT.

Computed properties:
volume: 14.99 Å³/atom
crystal system: tetragonal
ΔE_f (raw): 74 meV/atom

Structure (CIF):
```
data_Ni4Pb2N
_chemical_formula_sum 'Ni8 Pb4 N2'
_cell_length_a 3.8132
_cell_length_b 3.8132
_cell_length_c 14.4361
_cell_angle_alpha 90.00
_cell_angle_beta 90.00
_cell_angle_gamma 90.00
_symmetry_space_group_name_H-M 'I 4/m m m'
_symmetry_Int_Tables_number 139
_symmetry_space_group_name_Hall '-I 4 2'
loop_
_atom_site_label
_atom_site_type_symbol
_atom_site_fract_x
_atom_site_fract_y
_atom_site_fract_z
_atom_site_occupancy
Ni1 Ni 0.0000 0.0000 0.1274 1
Ni2 Ni 0.0000 0.5000 0.0000 1
Pb1 Pb 0.0000 0.0000 0.3278 1
N1 N 0.0000 0.0000 0.0000 1
```


Entry 4:
Computed, not measured: a geometry-optimized CdHgH6 structure at the PBE level of DFT.

Computed properties:
DFT total energy: -2.550 eV per atom
volume: 16.50 Å³/atom
crystal system: monoclinic

Structure (CIF):
```
data_CdHgH6
_chemical_formula_sum 'Cd2 Hg2 H12'
_cell_length_a 7.1641
_cell_length_b 12.2850
_cell_length_c 2.9992
_cell_angle_alpha 90.00
_cell_angle_beta 90.37
_cell_angle_gamma 90.00
_symmetry_space_group_name_H-M 'C 1 2/m 1'
_symmetry_Int_Tables_number 12
_symmetry_space_group_name_Hall '-C 2y'
loop_
_atom_site_label
_atom_site_type_symbol
_atom_site_fract_x
_atom_site_fract_y
_atom_site_fract_z
_atom_site_occupancy
Cd1 Cd 0.0000 0.0000 0.0000 1
Hg1 Hg 0.0000 0.5000 0.5000 1
H1 H 0.0313 0.2488 0.6012 1
H2 H 0.2480 0.5000 0.5007 1
```


Entry 5:
Computed, not measured: a geometry-optimized Y4AgRh structure at the PBE level of DFT.

Computed properties:
E above lowest polymorph: 0.0 kJ per mole of atoms
volume: 25.78 Å³/atom
crystal system: cubic
formation energy from the elements: -0.460 eV/atom

Structure (CIF):
```
data_Y4AgRh
_chemical_formula_sum 'Y64 Ag16 Rh16'
_cell_length_a 13.5269
_cell_length_b 13.5269
_cell_length_c 13.5269
_cell_angle_alpha 90.00
_cell_angle_beta 90.00
_cell_angle_gamma 90.00
_symmetry_space_group_name_H-M 'F -4 3 m'
_symmetry_Int_Tables_number 216
_symmetry_space_group_name_Hall 'F -4 2 3'
loop_
_atom_site_label
_atom_site_type_symbol
_atom_site_fract_x
_atom_site_fract_y
_atom_site_fract_z
_atom_site_occupancy
Y1 Y 0.0000 0.0000 0.1857 1
Y2 Y 0.0616 0.2500 0.7500 1
Y3 Y 0.1032 0.1032 0.3968 1
Ag1 Ag 0.1682 0.1682 0.1682 1
Rh1 Rh 0.1066 0.1066 0.6066 1
```


Entry 6:
Computed, not measured: a geometry-optimized Al2RhPb structure at the PBE level of DFT.

Computed properties:
volume: 18.26 Å³/atom
crystal system: orthorhombic
formation energy from the elements: 0.060 eV/atom

Structure (CIF):
```
data_Al2RhPb
_chemical_formula_sum 'Al4 Rh2 Pb2'
_cell_length_a 5.4920
_cell_length_b 8.1236
_cell_length_c 3.2744
_cell_angle_alpha 90.00
_cell_angle_beta 90.00
_cell_angle_gamma 90.00
_symmetry_space_group_name_H-M 'C m m m'
_symmetry_Int_Tables_number 65
_symmetry_space_group_name_Hall '-C 2 2'
loop_
_atom_site_label
_atom_site_type_symbol
_atom_site_fract_x
_atom_site_fract_y
_atom_site_fract_z
_atom_site_occupancy
Al1 Al 0.2500 0.2500 0.0000 1
Rh1 Rh 0.0000 0.0000 0.5000 1
Pb1 Pb 0.0000 0.5000 0.5000 1
```


Entry 7:
Computed, not measured: a geometry-optimized Tm3CdAg structure at the PBE level of DFT.

Computed properties:
E above lowest polymorph: 0.0 kJ per mole of atoms
volume: 25.61 Å³/atom
crystal system: orthorhombic
formation energy from the elements: -0.223 eV/atom

Structure (CIF):
```
data_Tm3CdAg
_chemical_formula_sum 'Tm12 Cd4 Ag4'
_cell_length_a 5.0937
_cell_length_b 19.7417
_cell_length_c 5.0927
_cell_angle_alpha 90.00
_cell_angle_beta 90.00
_cell_angle_gamma 90.00
_symmetry_space_group_name_H-M 'C m c m'
_symmetry_Int_Tables_number 63
_symmetry_space_group_name_Hall '-C 2c 2'
loop_
_atom_site_label
_atom_site_type_symbol
_atom_site_fract_x
_atom_site_fract_y
_atom_site_fract_z
_atom_site_occupancy
Tm1 Tm 0.0000 0.0605 0.2500 1
Tm2 Tm 0.0000 0.2494 0.2500 1
Tm3 Tm 0.0000 0.4372 0.2500 1
Cd1 Cd 0.0000 0.1552 0.7500 1
Ag1 Ag 0.0000 0.3406 0.7500 1
```


Entry 8:
Computed, not measured: a geometry-optimized LaZr2P structure at the PBE level of DFT.

Computed properties:
volume: 25.18 Å³/atom
crystal system: orthorhombic
formation energy from the elements: -0.543 eV/atom

Structure (CIF):
```
data_LaZr2P
_chemical_formula_sum 'La2 Zr4 P2'
_cell_length_a 4.2968
_cell_length_b 3.8511
_cell_length_c 12.1727
_cell_angle_alpha 90.00
_cell_angle_beta 90.00
_cell_angle_gamma 90.00
_symmetry_space_group_name_H-M 'A m m 2'
_symmetry_Int_Tables_number 38
_symmetry_space_group_name_Hall 'A 2 -2'
loop_
_atom_site_label
_atom_site_type_symbol
_atom_site_fract_x
_atom_site_fract_y
_atom_site_fract_z
_atom_site_occupancy
La1 La 0.0000 0.0000 0.0000 1
Zr1 Zr 0.0000 0.0000 0.7303 1
Zr2 Zr 0.5000 0.0000 0.2578 1
P1 P 0.5000 0.0000 0.5948 1
```